(1)
Computed, not measured: crystalline HfIn2S at its relaxed geometry at the PBE level of DFT.

Summary:
Mass density   8.055 g/cm³
Energy relative to the elements, uncorrected   0.101 eV per atom
Fermi-level density of states   12.638 states/eV/cell

Cell and atoms, written as CIF:
```
data_HfIn2S
_chemical_formula_sum 'Hf4 In8 S4'
_cell_length_a 8.0022
_cell_length_b 8.0022
_cell_length_c 5.6687
_cell_angle_alpha 90.00
_cell_angle_beta 90.00
_cell_angle_gamma 90.00
_symmetry_space_group_name_H-M 'I -4 2 d'
_symmetry_Int_Tables_number 122
_symmetry_space_group_name_Hall 'I -4 2bw'
loop_
_atom_site_label
_atom_site_type_symbol
_atom_site_fract_x
_atom_site_fract_y
_atom_site_fract_z
Hf1 Hf 0.0000 0.0000 0.0000
In1 In 0.2294 0.2500 0.6250
S1 S 0.0000 0.0000 0.5000
```

---

(2)
Computed, not measured: crystalline HfIn3S at its relaxed geometry at the PBE level of DFT.

Summary:
Mass density   6.834 g/cm³
Energy relative to the elements, uncorrected   0.623 eV per atom
Fermi-level density of states   5.880 states/eV/cell

Cell and atoms, written as CIF:
```
data_HfIn3S
_chemical_formula_sum 'Hf1 In3 S1'
_cell_length_a 5.1280
_cell_length_b 5.1280
_cell_length_c 5.1280
_cell_angle_alpha 90.00
_cell_angle_beta 90.00
_cell_angle_gamma 90.00
_symmetry_space_group_name_H-M 'P m -3 m'
_symmetry_Int_Tables_number 221
_symmetry_space_group_name_Hall '-P 4 2 3'
loop_
_atom_site_label
_atom_site_type_symbol
_atom_site_fract_x
_atom_site_fract_y
_atom_site_fract_z
Hf1 Hf 0.0000 0.0000 0.0000
In1 In 0.0000 0.5000 0.5000
S1 S 0.5000 0.5000 0.5000
```

---

(3)
Computed, not measured: crystalline Hf2ScInS at its relaxed geometry at the PBE level of DFT.

Summary:
Mass density   7.609 g/cm³
Energy relative to the elements, uncorrected   -0.137 eV per atom
Fermi-level density of states   4.165 states/eV/cell

Cell and atoms, written as CIF:
```
data_Hf2ScInS
_chemical_formula_sum 'Hf2 Sc1 In1 S1'
_cell_length_a 4.7420
_cell_length_b 4.7420
_cell_length_c 5.3263
_cell_angle_alpha 90.00
_cell_angle_beta 90.00
_cell_angle_gamma 90.00
_symmetry_space_group_name_H-M 'P 4/m m m'
_symmetry_Int_Tables_number 123
_symmetry_space_group_name_Hall '-P 4 2'
loop_
_atom_site_label
_atom_site_type_symbol
_atom_site_fract_x
_atom_site_fract_y
_atom_site_fract_z
Hf1 Hf 0.0000 0.5000 0.0000
Sc1 Sc 0.0000 0.0000 0.5000
In1 In 0.5000 0.5000 0.5000
S1 S 0.5000 0.5000 0.0000
```

---

(4)
Computed, not measured: crystalline HfTaIn2S at its relaxed geometry at the PBE level of DFT.

Summary:
Mass density   6.724 g/cm³
Energy relative to the elements, uncorrected   1.307 eV per atom
Fermi-level density of states   4.723 states/eV/cell

Cell and atoms, written as CIF:
```
data_HfTaIn2S
_chemical_formula_sum 'Hf1 Ta1 In2 S1'
_cell_length_a 5.5406
_cell_length_b 5.5406
_cell_length_c 4.9967
_cell_angle_alpha 90.00
_cell_angle_beta 90.00
_cell_angle_gamma 90.00
_symmetry_space_group_name_H-M 'P 4/m m m'
_symmetry_Int_Tables_number 123
_symmetry_space_group_name_Hall '-P 4 2'
loop_
_atom_site_label
_atom_site_type_symbol
_atom_site_fract_x
_atom_site_fract_y
_atom_site_fract_z
Hf1 Hf 0.0000 0.0000 0.0000
Ta1 Ta 0.0000 0.0000 0.5000
In1 In 0.0000 0.5000 0.0000
S1 S 0.5000 0.5000 0.5000
```

---

(5)
Computed, not measured: crystalline HfTlInS2 at its relaxed geometry at the PBE level of DFT.

Summary:
Mass density   5.627 g/cm³
Energy relative to the elements, uncorrected   1.060 eV per atom
Fermi-level density of states   3.802 states/eV/cell

Cell and atoms, written as CIF:
```
data_HfTlInS2
_chemical_formula_sum 'Hf1 Tl1 In1 S2'
_cell_length_a 5.5384
_cell_length_b 5.5384
_cell_length_c 5.4046
_cell_angle_alpha 90.00
_cell_angle_beta 90.00
_cell_angle_gamma 90.00
_symmetry_space_group_name_H-M 'P 4/m m m'
_symmetry_Int_Tables_number 123
_symmetry_space_group_name_Hall '-P 4 2'
loop_
_atom_site_label
_atom_site_type_symbol
_atom_site_fract_x
_atom_site_fract_y
_atom_site_fract_z
Hf1 Hf 0.0000 0.0000 0.0000
Tl1 Tl 0.5000 0.5000 0.5000
In1 In 0.5000 0.5000 0.0000
S1 S 0.0000 0.5000 0.5000
```

---

(6)
Computed, not measured: crystalline HfTl2InS5 at its relaxed geometry at the PBE level of DFT.

Summary:
Mass density   6.247 g/cm³
Energy relative to the elements, uncorrected   -0.740 eV per atom
Fermi-level density of states   11.004 states/eV/cell

Cell and atoms, written as CIF:
```
data_HfTl2InS5
_chemical_formula_sum 'Hf4 Tl8 In4 S20'
_cell_length_a 3.8085
_cell_length_b 18.0068
_cell_length_c 13.3709
_cell_angle_alpha 90.00
_cell_angle_beta 90.00
_cell_angle_gamma 90.00
_symmetry_space_group_name_H-M 'C m c 21'
_symmetry_Int_Tables_number 36
loop_
_symmetry_equiv_pos_as_xyz
'x,y,z'
'-x,-y,z+1/2'
'-x,y,z'
'x,-y,z+1/2'
'x+1/2,y+1/2,z'
'-x+1/2,-y+1/2,z+1/2'
'-x+1/2,y+1/2,z'
'x+1/2,-y+1/2,z+1/2'
loop_
_atom_site_label
_atom_site_type_symbol
_atom_site_fract_x
_atom_site_fract_y
_atom_site_fract_z
Hf1 Hf 0.0000 0.2106 0.0000
Tl1 Tl 0.0000 0.1109 0.6349
Tl2 Tl 0.0000 0.1304 0.2955
In1 In 0.0000 0.4469 0.4015
S1 S 0.0000 0.0575 0.0200
S2 S 0.0000 0.2864 0.6260
S3 S 0.0000 0.3079 0.3668
S4 S 0.0000 0.3446 0.9655
S5 S 0.0000 0.4846 0.7460
```